Entry P
Here is an optimized crystal structure of YHg2Mo from Alexandria via LeMat-Bulk. Energies are from PBE-GGA.

Output
**Symmetry**: No. 123
**Crystal system**: tetragonal
**N(E_F)**: 0.850 states/eV/atom
**Total magnetic moment**: 0.05 μB/f.u.

```
YHg2Mo
1.0
3.1339 0.0000 0.0000
0.0000 3.1339 0.0000
0.0000 0.0000 8.5540
Y Hg Mo
1 2 1
direct
0.0000 0.0000 0.0000
0.5000 0.5000 0.2683
0.5000 0.5000 0.7317
0.0000 0.0000 0.5000
```



Entry Q
Here is an optimized crystal structure of YHg2Mo from Alexandria via LeMat-Bulk. Energies are from PBE-GGA.

Output
**Symmetry**: No. 216
**Crystal system**: cubic
**N(E_F)**: 1.004 states/eV/atom
**Total magnetic moment**: 3.86 μB/f.u.

```
YHg2Mo
1.0
0.0000 3.5739 3.5739
3.5739 0.0000 3.5739
3.5739 3.5739 0.0000
Y Hg Mo
1 2 1
direct
0.0000 0.0000 0.0000
0.2500 0.2500 0.2500
0.5000 0.5000 0.5000
0.7500 0.7500 0.7500
```



So which one wins? Going from most stable to least: entry P, entry Q.



Entry P
Here is an optimized crystal structure of YHg2Mo from Alexandria via LeMat-Bulk. Energies are from PBE-GGA.

Output
**Symmetry**: No. 123
**Crystal system**: tetragonal
**N(E_F)**: 0.619 states/eV/atom
**Total magnetic moment**: 0.00 μB/f.u.

```
YHg2Mo
1.0
4.4560 0.0000 0.0000
0.0000 4.4560 0.0000
0.0000 0.0000 4.2735
Y Hg Mo
1 2 1
direct
0.0000 0.0000 0.0000
0.0000 0.5000 0.5000
0.5000 0.0000 0.5000
0.5000 0.5000 0.0000
```



Entry Q
Here is an optimized crystal structure of YHg2Mo from Alexandria via LeMat-Bulk. Energies are from PBE-GGA.

Output
**Symmetry**: No. 119
**Crystal system**: tetragonal
**N(E_F)**: 0.871 states/eV/atom
**Total magnetic moment**: 0.00 μB/f.u.

```
YHg2Mo
1.0
-2.1314 2.1314 4.7274
2.1314 -2.1314 4.7274
2.1314 2.1314 -4.7274
Y Hg Mo
1 2 1
direct
0.0000 0.0000 0.0000
0.2500 0.7500 0.5000
0.5000 0.5000 0.0000
0.7500 0.2500 0.5000
```



So which one wins? Going from most stable to least: entry P, entry Q.



Entry P
Here is an optimized crystal structure of YHg2Mo from Alexandria via LeMat-Bulk. Energies are from PBE-GGA.

Output
**Symmetry**: No. 12
**Crystal system**: monoclinic
**N(E_F)**: 0.580 states/eV/atom
**Total magnetic moment**: 0.00 μB/f.u.

```
YHg2Mo
1.0
3.0752 -4.3016 0.0000
3.0752 4.3016 0.0000
-0.0103 0.0000 3.1739
Y Hg Mo
1 2 1
direct
0.0000 0.0000 0.0000
0.0000 0.5000 0.5000
0.5000 0.0000 0.5000
0.5000 0.5000 0.0000
```



Entry Q
Here is an optimized crystal structure of YHg2Mo from Alexandria via LeMat-Bulk. Energies are from PBE-GGA.

Output
**Symmetry**: No. 44
**Crystal system**: orthorhombic
**N(E_F)**: 0.821 states/eV/atom
**Total magnetic moment**: 0.00 μB/f.u.

```
YHg2Mo
1.0
-1.6449 2.5915 5.0870
1.6449 -2.5915 5.0870
1.6449 2.5915 -5.0870
Y Hg Mo
1 2 1
direct
0.0000 0.0000 0.0000
0.2684 0.7684 0.5000
0.5208 0.5208 0.0000
0.7542 0.2542 0.5000
```



Entry R
Here is an optimized crystal structure of YHg2Mo from Alexandria via LeMat-Bulk. Energies are from PBE-GGA.

Output
**Symmetry**: No. 6
**Crystal system**: monoclinic
**N(E_F)**: 0.676 states/eV/atom
**Total magnetic moment**: 0.00 μB/f.u.

```
YHg2Mo
1.0
3.1705 0.0000 0.0000
0.0000 5.0431 0.0000
-0.1448 0.0000 5.2939
Y Hg Mo
1 2 1
direct
0.0000 0.0000 0.0000
0.5134 0.0000 0.5139
0.5247 0.5000 0.1633
0.0779 0.5000 0.6501
```



Entry S
Here is an optimized crystal structure of YHg2Mo from Alexandria via LeMat-Bulk. Energies are from PBE-GGA.

Output
**Symmetry**: No. 10
**Crystal system**: monoclinic
**N(E_F)**: 0.872 states/eV/atom
**Total magnetic moment**: 0.01 μB/f.u.

```
YHg2Mo
1.0
3.1766 0.0000 0.0000
0.0000 4.2491 0.0000
-0.0263 0.0000 6.2561
Y Hg Mo
1 2 1
direct
0.0000 0.0000 0.0000
0.4993 0.5000 0.7291
0.5007 0.5000 0.2709
0.0000 0.0000 0.5000
```



So which one wins? Going from most stable to least: entry S, entry P, entry R, entry Q.



Entry P
Here is an optimized crystal structure of YHgMo from Alexandria via LeMat-Bulk. Energies are from PBE-GGA.

Output
**Symmetry**: No. 5
**Crystal system**: monoclinic
**N(E_F)**: 0.997 states/eV/atom
**Total magnetic moment**: 0.00 μB/f.u.

```
YHgMo
1.0
2.7456 -5.3624 0.0000
2.7456 5.3624 0.0000
-0.1260 0.0000 4.6730
Y Hg Mo
2 2 2
direct
0.2340 0.2340 0.2504
0.7660 0.7660 0.7496
0.5373 0.1454 0.7445
0.8546 0.4627 0.2555
0.1896 0.5651 0.7677
0.4349 0.8104 0.2323
```



Entry Q
Here is an optimized crystal structure of YHgMo from Alexandria via LeMat-Bulk. Energies are from PBE-GGA.

Output
**Symmetry**: No. 12
**Crystal system**: monoclinic
**N(E_F)**: 0.561 states/eV/atom
**Total magnetic moment**: 0.00 μB/f.u.

```
YHgMo
1.0
5.9232 -1.7420 0.0000
5.9232 1.7420 0.0000
-5.0444 0.0000 6.6777
Y Hg Mo
2 2 2
direct
0.0886 0.0886 0.3098
0.9114 0.9114 0.6902
0.3333 0.3333 0.9463
0.6667 0.6667 0.0537
0.3875 0.3875 0.3637
0.6125 0.6125 0.6363
```



So which one wins? Going from most stable to least: entry Q, entry P.



Entry P
Here is an optimized crystal structure of YHgMo from Alexandria via LeMat-Bulk. Energies are from PBE-GGA.

Output
**Symmetry**: No. 44
**Crystal system**: orthorhombic
**N(E_F)**: 0.877 states/eV/atom
**Total magnetic moment**: 0.00 μB/f.u.

```
YHgMo
1.0
-2.4316 3.5271 4.1177
2.4316 -3.5271 4.1177
2.4316 3.5271 -4.1177
Y Hg Mo
2 2 2
direct
0.0000 0.0000 0.0000
0.5839 0.0839 0.5000
0.1626 0.3889 0.7737
0.6152 0.3889 0.2263
0.0657 0.7224 0.3433
0.3790 0.7224 0.6567
```



Entry Q
Here is an optimized crystal structure of YHgMo from Alexandria via LeMat-Bulk. Energies are from PBE-GGA.

Output
**Symmetry**: No. 12
**Crystal system**: monoclinic
**N(E_F)**: 0.912 states/eV/atom
**Total magnetic moment**: 0.00 μB/f.u.

```
YHgMo
1.0
5.2873 -2.4219 0.0000
5.2873 2.4219 0.0000
-4.4705 0.0000 5.3892
Y Hg Mo
2 2 2
direct
0.0367 0.0367 0.2851
0.9633 0.9633 0.7149
0.3226 0.3226 0.8709
0.6774 0.6774 0.1291
0.3666 0.3666 0.3467
0.6334 0.6334 0.6533
```



Entry R
Here is an optimized crystal structure of YHgMo from Alexandria via LeMat-Bulk. Energies are from PBE-GGA.

Output
**Symmetry**: No. 187
**Crystal system**: hexagonal
**N(E_F)**: 1.412 states/eV/atom
**Total magnetic moment**: 0.00 μB/f.u.

```
YHgMo
1.0
4.9538 0.0000 0.0000
-2.4769 4.2901 0.0000
0.0000 0.0000 3.0849
Y Hg Mo
1 1 1
direct
0.0000 0.0000 0.0000
0.6667 0.3333 0.5000
0.3333 0.6667 0.5000
```



So which one wins? Going from most stable to least: entry Q, entry P, entry R.



Entry P
Here is an optimized crystal structure of YHgMo3 from Alexandria via LeMat-Bulk. Energies are from PBE-GGA.

Output
**Symmetry**: No. 221
**Crystal system**: cubic
**N(E_F)**: 1.288 states/eV/atom
**Total magnetic moment**: 0.00 μB/f.u.

```
YHgMo3
1.0
4.8355 0.0000 0.0000
0.0000 4.8355 0.0000
0.0000 0.0000 4.8355
Y Hg Mo
1 1 3
direct
0.0000 0.0000 0.0000
0.5000 0.5000 0.5000
0.0000 0.0000 0.5000
0.0000 0.5000 0.0000
0.5000 0.0000 0.0000
```



Entry Q
Here is an optimized crystal structure of YHgMo3 from Alexandria via LeMat-Bulk. Energies are from PBE-GGA.

Output
**Symmetry**: No. 221
**Crystal system**: cubic
**N(E_F)**: 2.295 states/eV/atom
**Total magnetic moment**: 0.00 μB/f.u.

```
YHgMo3
1.0
4.9923 0.0000 0.0000
0.0000 4.9923 0.0000
0.0000 0.0000 4.9923
Y Hg Mo
1 1 3
direct
0.0000 0.0000 0.0000
0.5000 0.5000 0.5000
0.0000 0.5000 0.5000
0.5000 0.0000 0.5000
0.5000 0.5000 0.0000
```



So which one wins? Going from most stable to least: entry Q, entry P.



Entry P
Here is an optimized crystal structure of ZnHg3Mo from Alexandria via LeMat-Bulk. Energies are from PBE-GGA.

Output
**Symmetry**: No. 221
**Crystal system**: cubic
**N(E_F)**: 0.460 states/eV/atom
**Total magnetic moment**: 4.70 μB/f.u.

```
ZnHg3Mo
1.0
5.0963 0.0000 0.0000
0.0000 5.0963 0.0000
0.0000 0.0000 5.0963
Zn Hg Mo
1 3 1
direct
0.0000 0.0000 0.0000
0.0000 0.0000 0.5000
0.0000 0.5000 0.0000
0.5000 0.0000 0.0000
0.5000 0.5000 0.5000
```



Entry Q
Here is an optimized crystal structure of ZnHg3Mo from Alexandria via LeMat-Bulk. Energies are from PBE-GGA.

Output
**Symmetry**: No. 221
**Crystal system**: cubic
**N(E_F)**: 0.589 states/eV/atom
**Total magnetic moment**: 3.62 μB/f.u.

```
ZnHg3Mo
1.0
5.5480 0.0000 0.0000
0.0000 5.5480 0.0000
0.0000 0.0000 5.5480
Zn Hg Mo
1 3 1
direct
0.0000 0.0000 0.0000
0.0000 0.5000 0.5000
0.5000 0.0000 0.5000
0.5000 0.5000 0.0000
0.5000 0.5000 0.5000
```



So which one wins? Going from most stable to least: entry Q, entry P.



Entry P
Here is an optimized crystal structure of ZnHgMo3 from Alexandria via LeMat-Bulk. Energies are from PBE-GGA.

Output
**Symmetry**: No. 221
**Crystal system**: cubic
**N(E_F)**: 1.296 states/eV/atom
**Total magnetic moment**: 0.00 μB/f.u.

```
ZnHgMo3
1.0
4.5875 0.0000 0.0000
0.0000 4.5875 0.0000
0.0000 0.0000 4.5875
Zn Hg Mo
1 1 3
direct
0.0000 0.0000 0.0000
0.5000 0.5000 0.5000
0.0000 0.0000 0.5000
0.0000 0.5000 0.0000
0.5000 0.0000 0.0000
```



Entry Q
Here is an optimized crystal structure of ZnHgMo3 from Alexandria via LeMat-Bulk. Energies are from PBE-GGA.

Output
**Symmetry**: No. 221
**Crystal system**: cubic
**N(E_F)**: 2.425 states/eV/atom
**Total magnetic moment**: 0.01 μB/f.u.

```
ZnHgMo3
1.0
4.9409 0.0000 0.0000
0.0000 4.9409 0.0000
0.0000 0.0000 4.9409
Zn Hg Mo
1 1 3
direct
0.0000 0.0000 0.0000
0.5000 0.5000 0.5000
0.0000 0.5000 0.5000
0.5000 0.0000 0.5000
0.5000 0.5000 0.0000
```



So which one wins? Going from most stable to least: entry P, entry Q.